MgNi2Sn4 | PBE | optimized geometry

a = 4.346 Å, b = 4.346 Å, c = 9.409 Å
α = 76.65°, β = 76.65°, γ = 60.00°
Element x y z (fractional)
Sn: 0.701 0.701 0.896
Sn: 0.896 0.896 0.313
Sn: 0.299 0.299 0.104
Sn: 0.104 0.104 0.687
Mg: 0.500 0.500 0.500
Ni: 0.399 0.399 0.802
Ni: 0.601 0.601 0.198

Values from the calculation:
DOS(E_F) ... 4.20 states/eV/cell
Total magnetization ... 0.00 μB/f.u.
Formation enthalpy at 0 K ... -0.200 eV per atom
Total energy ... -4.37 eV per atom

=====

KFe2Hg | PBE | optimized geometry

a = 4.884 Å, b = 4.884 Å, c = 4.884 Å
α = 119.54°, β = 119.54°, γ = 90.80°
Site moments in Bohr magnetons follow the coordinates.
Element x y z (fractional)
Fe: 0.250 0.750 0.500  2.96
Fe: 0.000 0.000 0.000  2.98
Hg: 0.500 0.500 0.000  -0.03
K: 0.750 0.250 0.500  -0.01

Values from the calculation:
DOS(E_F) ... 6.31 states/eV/cell
Total magnetization ... 5.80 μB/f.u.
Formation enthalpy at 0 K ... 1.019 eV per atom
Total energy ... -3.56 eV per atom

=====

BaCaBr | PBE | optimized geometry

a = 6.062 Å, b = 6.062 Å, c = 6.062 Å
α = 60.00°, β = 60.00°, γ = 60.00°
Site moments in Bohr magnetons follow the coordinates.
Element x y z (fractional)
Br: 0.000 0.000 0.000  0.02
Ba: 0.750 0.750 0.750  0.14
Ca: 0.500 0.500 0.500  0.12

Values from the calculation:
DOS(E_F) ... 3.13 states/eV/cell
Total magnetization ... 1.02 μB/f.u.
Formation energy without anion corrections ... -205 meV/atom
Total energy ... -2.07 eV per atom

=====

Pm2NdTmS6 | PBE | optimized geometry

a = 7.072 Å, b = 7.072 Å, c = 7.457 Å
α = 61.69°, β = 61.69°, γ = 60.00°
Element x y z (fractional)
S: 0.415 0.705 0.757
S: 0.705 0.123 0.757
S: 0.123 0.415 0.757
S: 0.934 0.604 0.252
S: 0.604 0.211 0.252
S: 0.211 0.933 0.252
Tm: 0.317 0.317 0.048
Nd: 0.812 0.812 0.563
Pm: 0.018 0.018 0.945
Pm: 0.522 0.522 0.435

Values from the calculation:
DOS(E_F) ... 0.00 states/eV/cell
Total magnetization ... 0.00 μB/f.u.
Formation energy without anion corrections ... -2026 meV/atom
Total energy ... -6.38 eV per atom